1.
The following is a DFT calculation (GGA-PBE) of a relaxed NdHo2ErAs4 crystal.

SG = P2/m (10)
formation enthalpy at 0 K = -12.097 eV/f.u.

Lattice parameters (Å, degrees): 4.143 7.170 7.170 70.52 90.00 90.00
Sites, in units of the cell vectors:
Nd: 0.500 0.500 0.000
Ho: 0.000 0.000 0.000
As: 0.000 0.243 0.258
As: 0.500 0.247 0.746
As: 0.500 0.753 0.254
Er: 0.000 0.500 0.500
As: 0.000 0.757 0.742
Ho: 0.500 0.000 0.500



2.
The following is a DFT calculation (GGA-PBE) of a relaxed Nd2HoErAs4 crystal.

SG = P2/m (10)
formation enthalpy at 0 K = -12.086 eV/f.u.

Lattice parameters (Å, degrees): 4.186 7.239 7.246 70.52 90.00 90.00
Sites, in units of the cell vectors:
As: 0.500 0.261 0.746
Ho: 0.500 0.500 0.000
As: 0.000 0.261 0.247
Nd: 0.000 0.000 0.000
As: 0.000 0.739 0.753
Nd: 0.500 0.000 0.500
Er: 0.000 0.500 0.500
As: 0.500 0.739 0.254



no.,volume (Å³ per cell)
1,201
2,207